Record 1
# BaGaCo | Alexandria | PBE | relaxed
# Energy of formation from the pure elements ... -0.164 eV per atom
# ρ ... 5.3 g cm⁻³
data_BaGaCo
_space_group_name_H-M_alt 'P 4/n m m'
_space_group_IT_number 129
_cell_length_a 4.3118
_cell_length_b 4.3118
_cell_length_c 8.9058
_cell_angle_alpha 90.00
_cell_angle_beta 90.00
_cell_angle_gamma 90.00
loop_
_space_group_symop_operation_xyz
'x,y,z'
'-x,-y,-z'
'-y+1/2,x,z'
'y+1/2,-x,-z'
'-x+1/2,-y+1/2,z'
'x+1/2,y+1/2,-z'
'y,-x+1/2,z'
'-y,x+1/2,-z'
'x+1/2,-y,-z'
'-x+1/2,y,z'
'-y,-x,-z'
'y,x,z'
'-x,y+1/2,-z'
'x,-y+1/2,z'
'y+1/2,x+1/2,-z'
'-y+1/2,-x+1/2,z'
loop_
_atom_site_label
_atom_site_type_symbol
_atom_site_fract_x
_atom_site_fract_y
_atom_site_fract_z
Ba1 Ba 0.2500 0.2500 0.2116
Ga1 Ga 0.2500 0.2500 0.6181
Co1 Co 0.2500 0.7500 0.5000

---

Record 2
# BaSr2Cd8 | Alexandria | PBE | relaxed
# Energy of formation from the pure elements ... -0.276 eV per atom
# ρ ... 6.3 g cm⁻³
data_BaSr2Cd8
_space_group_name_H-M_alt 'C 1 2/m 1'
_space_group_IT_number 12
_cell_length_a 8.7786
_cell_length_b 16.8096
_cell_length_c 5.6728
_cell_angle_alpha 90.00
_cell_angle_beta 129.81
_cell_angle_gamma 90.00
loop_
_space_group_symop_operation_xyz
'x,y,z'
'-x,-y,-z'
'-x,y,-z'
'x,-y,z'
'x+1/2,y+1/2,z'
'-x+1/2,-y+1/2,-z'
'-x+1/2,y+1/2,-z'
'x+1/2,-y+1/2,z'
loop_
_atom_site_label
_atom_site_type_symbol
_atom_site_fract_x
_atom_site_fract_y
_atom_site_fract_z
Ba1 Ba 0.0000 0.0000 0.0000
Sr1 Sr 0.0000 0.3105 0.5000
Cd1 Cd 0.0000 0.2094 0.0000
Cd2 Cd 0.0032 0.5000 0.2507
Cd3 Cd 0.2273 0.1287 0.7284

---

Record 3
# Ac6LaPm2Pr | Alexandria | PBE | relaxed
# Energy of formation from the pure elements ... 0.194 eV per atom
# ρ ... 7.6 g cm⁻³
data_Ac6LaPm2Pr
_space_group_name_H-M_alt 'C 1 2/m 1'
_space_group_IT_number 12
_cell_length_a 11.9886
_cell_length_b 7.5735
_cell_length_c 9.5233
_cell_angle_alpha 90.00
_cell_angle_beta 104.08
_cell_angle_gamma 90.00
loop_
_space_group_symop_operation_xyz
'x,y,z'
'-x,-y,-z'
'-x,y,-z'
'x,-y,z'
'x+1/2,y+1/2,z'
'-x+1/2,-y+1/2,-z'
'-x+1/2,y+1/2,-z'
'x+1/2,-y+1/2,z'
loop_
_atom_site_label
_atom_site_type_symbol
_atom_site_fract_x
_atom_site_fract_y
_atom_site_fract_z
Ac1 Ac 0.1347 0.0000 0.4172
Ac2 Ac 0.1664 0.2593 0.7981
La1 La 0.0000 0.5000 0.5000
Pm1 Pm 0.0903 0.5000 0.1564
Pr1 Pr 0.0000 0.0000 0.0000

---

Record 4
# SrPmZnAg | Alexandria | PBE | relaxed
# Energy of formation from the pure elements ... -0.263 eV per atom
# Distance to the lowest polymorph of the same formula ... 0 meV/atom
# ρ ... 6.1 g cm⁻³
data_SrPmZnAg
_space_group_name_H-M_alt 'P 4 m m'
_space_group_IT_number 99
_cell_length_a 3.8152
_cell_length_b 3.8152
_cell_length_c 7.5605
_cell_angle_alpha 90.00
_cell_angle_beta 90.00
_cell_angle_gamma 90.00
loop_
_space_group_symop_operation_xyz
'x,y,z'
'-y,x,z'
'-x,-y,z'
'y,-x,z'
'-x,y,z'
'y,x,z'
'x,-y,z'
'-y,-x,z'
loop_
_atom_site_label
_atom_site_type_symbol
_atom_site_fract_x
_atom_site_fract_y
_atom_site_fract_z
Sr1 Sr 0.0000 0.0000 0.0000
Pm1 Pm 0.0000 0.0000 0.5109
Zn1 Zn 0.5000 0.5000 0.7210
Ag1 Ag 0.5000 0.5000 0.2862

---

What is the ρ in the fourth record?
6.1 g cm⁻³